# LaAgAsO, optimized geometry, DFT PBE-GGA
# - SG: Pmc2_1, No. 26
# - Total magnetization: 0.00 μB/f.u.
data_LaAgAsO
_cell_length_a 3.935
_cell_length_b 7.945
_cell_length_c 6.229
_cell_angle_alpha 90.00
_cell_angle_beta 90.00
_cell_angle_gamma 90.00
_space_group_name_H-M_alt 'P 1'
_space_group_IT_number 1
loop_
_space_group_symop_operation_xyz
'x,y,z'
loop_
_atom_site_label
_atom_site_type_symbol
_atom_site_fract_x
_atom_site_fract_y
_atom_site_fract_z
La1 La 0.000 0.232 0.000
La2 La 0.000 0.768 0.500
Ag1 Ag 0.500 0.359 0.497
Ag2 Ag 0.500 0.641 0.997
As1 As 0.000 0.156 0.499
As2 As 0.000 0.844 0.999
O1 O 0.500 0.357 0.996
O2 O 0.500 0.643 0.496

---

# LaAgAsO, optimized geometry, DFT PBE-GGA
# - SG: P4/nmm, No. 129
# - Total magnetization: 0.01 μB/f.u.
data_LaAgAsO
_cell_length_a 4.158
_cell_length_b 4.158
_cell_length_c 9.158
_cell_angle_alpha 90.00
_cell_angle_beta 90.00
_cell_angle_gamma 90.00
_space_group_name_H-M_alt 'P 1'
_space_group_IT_number 1
loop_
_space_group_symop_operation_xyz
'x,y,z'
loop_
_atom_site_label
_atom_site_type_symbol
_atom_site_fract_x
_atom_site_fract_y
_atom_site_fract_z
La1 La 0.250 0.250 0.130
La2 La 0.750 0.750 0.870
Ag1 Ag 0.250 0.750 0.500
Ag2 Ag 0.750 0.250 0.500
As1 As 0.250 0.250 0.684
As2 As 0.750 0.750 0.316
O1 O 0.250 0.750 0.000
O2 O 0.750 0.250 0.000

---

# LaYAg2As4, optimized geometry, DFT PBE-GGA
# - SG: P4mm, No. 99
# - Total magnetization: 0.00 μB/f.u.
data_LaYAg2As4
_cell_length_a 4.055
_cell_length_b 4.055
_cell_length_c 10.520
_cell_angle_alpha 90.00
_cell_angle_beta 90.00
_cell_angle_gamma 90.00
_space_group_name_H-M_alt 'P 1'
_space_group_IT_number 1
loop_
_space_group_symop_operation_xyz
'x,y,z'
loop_
_atom_site_label
_atom_site_type_symbol
_atom_site_fract_x
_atom_site_fract_y
_atom_site_fract_z
La1 La 0.000 0.000 0.000
Y1 Y 0.500 0.500 0.455
Ag1 Ag 0.000 0.500 0.721
Ag2 Ag 0.500 0.000 0.721
As1 As 0.000 0.000 0.540
As2 As 0.000 0.500 0.236
As3 As 0.500 0.000 0.236
As4 As 0.500 0.500 0.900

---

# LiAg2As2, optimized geometry, DFT PBE-GGA
# - SG: I4/mmm, No. 139
data_LiAg2As2
_cell_length_a 6.412
_cell_length_b 6.412
_cell_length_c 6.412
_cell_angle_alpha 140.87
_cell_angle_beta 140.87
_cell_angle_gamma 56.54
_space_group_name_H-M_alt 'P 1'
_space_group_IT_number 1
loop_
_space_group_symop_operation_xyz
'x,y,z'
loop_
_atom_site_label
_atom_site_type_symbol
_atom_site_fract_x
_atom_site_fract_y
_atom_site_fract_z
Li1 Li 0.000 0.000 0.000
Ag1 Ag 0.250 0.750 0.500
Ag2 Ag 0.750 0.250 0.500
As1 As 0.394 0.394 0.000
As2 As 0.606 0.606 0.000

---

Across the entries above, VASP energy takes the values -5.6460; -6.0217; -5.2406; -3.4691 eV per atom, respectively.